[1]
This record from Alexandria describes an optimized crystal structure of Cu2OsAu. The functional is GGA-PBE.

Output
Energy of formation from the pure elements (eV/atom): 0.382
Relative energy among the computed polymorphs (meV per atom): 154
Space group: Cmm2, No. 35
DFT total energy (eV/atom): -5.29

Cell lengths 2.7410, 4.6197, 9.2262 Å; angles 90.00, 90.00, 90.00 degrees
With the nearest neighbours (Å) after each atom.
Element x y z (fractional)
Cu1 0.0000 0.0000 0.0000  8 Cu 2.48-2.74, 2 Au 2.71
Cu2 0.0000 0.5000 0.2239  8 Cu 2.48-2.74, 2 Os 2.59
Cu3 0.5000 0.0000 0.2239  8 Cu 2.48-2.74, 2 Os 2.59
Cu4 0.5000 0.5000 0.0000  8 Cu 2.48-2.74, 2 Au 2.71
Os1 0.0000 0.0000 0.4620  2 Cu 2.59, 6 Os 2.69-2.74
Os2 0.5000 0.5000 0.4620  2 Cu 2.59, 6 Os 2.69-2.74
Au1 0.0000 0.5000 0.7464  6 Au 2.69-2.74, 2 Cu 2.71, 2 Os 2.96
Au2 0.5000 0.0000 0.7464  6 Au 2.69-2.74, 2 Cu 2.71, 2 Os 2.96

[2]
This record from Alexandria describes an optimized crystal structure of YSi2P. The functional is GGA-PBE.

Output
Formation energy without anion corrections (eV/atom): -0.01
Space group: R-3m, No. 166
DFT total energy (eV/atom): -5.69

Cell lengths 3.4326, 3.4326, 22.5691 Å; angles 90.00, 90.00, 120.00 degrees
With the nearest neighbours (Å) after each atom.
Element x y z (fractional)
Y1 0.0000 0.0000 0.0000  6 Si 3.02
Y2 0.3333 0.6667 0.6667  6 Si 3.02
Y3 0.6667 0.3333 0.3333  6 Si 3.02
Si1 0.0000 0.0000 0.2324  3 P 2.48
Si2 0.0000 0.0000 0.7676  3 P 2.48
Si3 0.3333 0.6667 0.4342  3 P 2.48
Si4 0.3333 0.6667 0.8991  3 P 2.48
Si5 0.6667 0.3333 0.1009  3 P 2.48
Si6 0.6667 0.3333 0.5658  3 P 2.48
P1 0.0000 0.0000 0.5000  6 Si 2.48
P2 0.3333 0.6667 0.1667  6 Si 2.48
P3 0.6667 0.3333 0.8333  6 Si 2.48

[3]
This record from Alexandria describes an optimized crystal structure of RbBiO2F. The functional is GGA-PBE.

Output
Formation energy without anion corrections (eV/atom): -0.13
Space group: P4/mmm, No. 123
DFT total energy (eV/atom): -3.46

Cell lengths 5.1868, 5.1868, 4.2239 Å; angles 90.00, 90.00, 90.00 degrees
With the nearest neighbours (Å) after each atom.
Element x y z (fractional)
Rb1 0.0000 0.0000 0.0000  8 O 3.34, 4 Bi 3.67
Bi1 0.5000 0.5000 0.0000  2 F 2.11
O1 0.0000 0.5000 0.5000  2 F 2.59
O2 0.5000 0.0000 0.5000  2 F 2.59
F1 0.5000 0.5000 0.5000  2 Bi 2.11

[4]
This record from Alexandria describes an optimized crystal structure of CaIn2Rh2. The functional is GGA-PBE.

Output
Energy of formation from the pure elements (eV/atom): -0.448
Space group: P4/mbm, No. 127
DFT total energy (eV/atom): -4.88

Cell lengths 7.9306, 7.9306, 3.1072 Å; angles 90.00, 90.00, 90.00 degrees
With the nearest neighbours (Å) after each atom.
Element x y z (fractional)
Ca1 0.0000 0.0000 0.0000  4 In 3.10, 2 Ca 3.11, 8 Rh 3.34
Ca2 0.5000 0.5000 0.0000  4 In 3.10, 2 Ca 3.11, 8 Rh 3.34
In1 0.1315 0.3685 0.0000  6 Rh 2.75-2.84, 1 In 2.95
In2 0.3685 0.8685 0.0000  6 Rh 2.75-2.84, 1 In 2.95
In3 0.6315 0.1315 0.0000  6 Rh 2.75-2.84, 1 In 2.95
In4 0.8685 0.6315 0.0000  6 Rh 2.75-2.84, 1 In 2.95
Rh1 0.1663 0.6663 0.5000  6 In 2.75-2.84
Rh2 0.3337 0.1663 0.5000  6 In 2.75-2.84
Rh3 0.6663 0.8337 0.5000  6 In 2.75-2.84
Rh4 0.8337 0.3337 0.5000  6 In 2.75-2.84

[5]
This record from Alexandria describes an optimized crystal structure of FeCu2Rh5. The functional is GGA-PBE.

Output
Energy of formation from the pure elements (eV/atom): 0.011
Space group: I4/mmm, No. 139
DFT total energy (eV/atom): -6.67

Cell lengths 3.8278, 3.8278, 14.7822 Å; angles 90.00, 90.00, 90.00 degrees
With the nearest neighbours (Å) after each atom.
Element x y z (fractional)
Fe1 0.0000 0.0000 0.0000  12 Rh 2.66-2.71
Fe2 0.5000 0.5000 0.5000  12 Rh 2.66-2.71
Cu1 0.0000 0.0000 0.2500  8 Rh 2.66, 4 Cu 2.71
Cu2 0.0000 0.0000 0.7500  8 Rh 2.66, 4 Cu 2.71
Cu3 0.5000 0.5000 0.2500  8 Rh 2.66, 4 Cu 2.71
Cu4 0.5000 0.5000 0.7500  8 Rh 2.66, 4 Cu 2.71
Rh1 0.0000 0.0000 0.5000  8 Rh 2.66, 4 Fe 2.71
Rh2 0.0000 0.5000 0.1251  4 Cu 2.66, 2 Fe 2.66, 6 Rh 2.66-2.71
Rh3 0.0000 0.5000 0.3749  4 Cu 2.66, 2 Fe 2.66, 6 Rh 2.66-2.71
Rh4 0.0000 0.5000 0.6251  4 Cu 2.66, 2 Fe 2.66, 6 Rh 2.66-2.71
Rh5 0.0000 0.5000 0.8749  4 Cu 2.66, 2 Fe 2.66, 6 Rh 2.66-2.71
Rh6 0.5000 0.0000 0.1251  4 Cu 2.66, 2 Fe 2.66, 6 Rh 2.66-2.71
Rh7 0.5000 0.0000 0.3749  4 Cu 2.66, 2 Fe 2.66, 6 Rh 2.66-2.71
Rh8 0.5000 0.0000 0.6251  4 Cu 2.66, 2 Fe 2.66, 6 Rh 2.66-2.71
Rh9 0.5000 0.0000 0.8749  4 Cu 2.66, 2 Fe 2.66, 6 Rh 2.66-2.71
Rh10 0.5000 0.5000 0.0000  8 Rh 2.66, 4 Fe 2.71

[6]
This record from Alexandria describes an optimized crystal structure of PmSn2Pt6. The functional is GGA-PBE.

Output
Energy of formation from the pure elements (eV/atom): -0.381
Space group: Immm, No. 71
DFT total energy (eV/atom): -5.83

Cell lengths 7.6920, 7.6920, 7.6920 Å; angles 153.69, 115.36, 71.05 degrees
With the nearest neighbours (Å) after each atom.
Element x y z (fractional)
Pm1 0.0000 0.0000 0.0000  12 Pt 3.15-3.25, 2 Pm 3.50
Sn1 0.3646 0.8646 0.5000  6 Pt 2.68-2.80
Sn2 0.6354 0.1354 0.5000  6 Pt 2.68-2.80
Pt1 0.0167 0.6794 0.3373  4 Pt 2.64-2.87, 1 Sn 2.68
Pt2 0.3322 0.5000 0.8322  3 Pt 2.64-2.76, 4 Sn 2.80
Pt3 0.3421 0.6794 0.6627  4 Pt 2.64-2.87, 1 Sn 2.68
Pt4 0.6579 0.3206 0.3373  4 Pt 2.64-2.87, 1 Sn 2.68
Pt5 0.6678 0.5000 0.1678  3 Pt 2.64-2.76, 4 Sn 2.80
Pt6 0.9833 0.3206 0.6627  4 Pt 2.64-2.87, 1 Sn 2.68

[7]
This record from Alexandria describes an optimized crystal structure of Ac6Mg5Zn. The functional is GGA-PBE.

Output
Energy of formation from the pure elements (eV/atom): -0.101
Space group: Cmmm, No. 65
DFT total energy (eV/atom): -2.93

Cell lengths 9.1110, 9.1110, 8.1841 Å; angles 90.00, 90.00, 143.17 degrees
With the nearest neighbours (Å) after each atom.
Element x y z (fractional)
Ac1 0.0000 0.0000 0.2408  2 Zn 3.49, 6 Mg 3.57-3.60
Ac2 0.0000 0.0000 0.7592  2 Zn 3.49, 6 Mg 3.57-3.60
Ac3 0.3374 0.6626 0.2459  1 Zn 3.46, 7 Mg 3.50-3.59
Ac4 0.3374 0.6626 0.7541  1 Zn 3.46, 7 Mg 3.50-3.59
Ac5 0.6626 0.3374 0.2459  1 Zn 3.46, 7 Mg 3.50-3.59
Ac6 0.6626 0.3374 0.7541  1 Zn 3.46, 7 Mg 3.50-3.59
Mg1 0.1680 0.8320 0.5000  8 Ac 3.55-3.60
Mg2 0.1720 0.8280 0.0000  8 Ac 3.50-3.57
Mg3 0.5000 0.5000 0.5000  8 Ac 3.50-3.58
Mg4 0.8280 0.1720 0.0000  8 Ac 3.50-3.57
Mg5 0.8320 0.1680 0.5000  8 Ac 3.55-3.60
Zn1 0.5000 0.5000 0.0000  8 Ac 3.46-3.49

[8]
This record from Alexandria describes an optimized crystal structure of SmMgZn. The functional is GGA-PBE.

Output
Energy of formation from the pure elements (eV/atom): -0.199
Space group: Pma2, No. 28
DFT total energy (eV/atom): -2.73

Cell lengths 4.9164, 8.5793, 3.3934 Å; angles 90.00, 90.00, 90.00 degrees
With the nearest neighbours (Å) after each atom.
Element x y z (fractional)
Sm1 0.2500 0.2161 0.0000  6 Zn 3.11-3.18, 2 Sm 3.39, 4 Mg 3.43-3.44
Sm2 0.7500 0.7839 0.0000  6 Zn 3.11-3.18, 2 Sm 3.39, 4 Mg 3.43-3.44
Mg1 0.2500 0.5864 0.5008  1 Zn 2.80, 2 Mg 2.87
Mg2 0.7500 0.4136 0.5008  1 Zn 2.80, 2 Mg 2.87
Zn1 0.2500 0.9124 0.4999  1 Mg 2.80, 2 Zn 2.88, 2 Sm 3.11
Zn2 0.7500 0.0876 0.4999  1 Mg 2.80, 2 Zn 2.88, 2 Sm 3.11

| no. | magnetization (μB/cell) |
| --- | --- |
| 1 | 0.00 |
| 2 | 0.00 |
| 3 | 1.00 |
| 4 | 0.00 |
| 5 | 6.82 |
| 6 | 0.00 |
| 7 | 0.00 |
| 8 | 0.00 |